# PBE Dy4Tm8Th, relaxed
data_Dy4Tm8Th
_chemical_formula_sum 'Dy12 Tm24 Th3'
_symmetry_space_group_name_H-M 'R -3 m'
_symmetry_Int_Tables_number 166
_symmetry_space_group_name_Hall '-R 3 2"'
_cell_length_a 6.7891
_cell_length_b 6.7891
_cell_length_c 31.7377
_cell_angle_alpha 90.00
_cell_angle_beta 90.00
_cell_angle_gamma 120.00
loop_
_atom_site_label
_atom_site_fract_x
_atom_site_fract_y
_atom_site_fract_z
_atom_site_occupancy
Dy1 0.0000 0.0000 0.0000 1
Dy2 0.0000 0.5000 0.0000 1
Tm1 0.0000 0.0000 0.2002 1
Tm2 0.0060 0.5030 0.7545 1
Th1 0.0000 0.0000 0.5000 1
# formation energy: 297 meV/atom
# V: 1266.9 Å³/cell
# E: -173.22 eV/cell
# spin magnetization: 0.0 μB/f.u.